# Tc5Ir | Alexandria | GGA-PBE | relaxed
data_Tc5Ir
_cell_length_a 7.1342
_cell_length_b 7.1342
_cell_length_c 7.1342
_cell_angle_alpha 90.00
_cell_angle_beta 90.00
_cell_angle_gamma 90.00
_symmetry_space_group_name_H-M 'F -4 3 m'
_symmetry_Int_Tables_number 216
_symmetry_space_group_name_Hall 'F -4 2 3'
loop_
_atom_site_label
_atom_site_type_symbol
_atom_site_fract_x
_atom_site_fract_y
_atom_site_fract_z
Tc1 Tc 0.0000 0.0000 0.0000
Tc2 Tc 0.1246 0.1246 0.6246
Ir1 Ir 0.2500 0.2500 0.2500
# N(E_F) = 0.924 states/eV/atom
# Magnetization = 0.00 Bohr magnetons per cell
# Formation enthalpy at 0 K = 0.282 eV per atom